(1)
First-principles (PBE) data for crystalline Pm6HoEr2Sc at its relaxed geometry, as listed in the Alexandria database.

The structure belongs to space group C2/c (No. 15); the cell edges are 9.2030, 15.1849 and 9.3845 Å and the angles 90.00°, 96.51° and 90.00°. The distinct sites, in fractional coordinates, are Pm at (0.0556, 0.1773, 0.4482), Pm at (0.0989, 0.3888, 0.6132), Pm at (0.2231, 0.2173, 0.8057), Ho at (0.0000, 0.0263, 0.7500), Er at (0.2458, 0.4507, 0.9519) and Sc at (0.0000, 0.4198, 0.2500).

Its theoretical density is 7.2 g cm⁻³. As for the formation energy: 128 meV per atom. The calculation puts the total energy at -4.73 eV per atom.


(2)
First-principles (PBE) data for crystalline Pm2HoEr4Sc at its relaxed geometry, as listed in the Alexandria database.

The structure belongs to space group P4/mmm (No. 123); the cell edges are 4.9817, 4.9817 and 9.9020 Å and the angles 90.00°, 90.00° and 90.00°. The distinct sites, in fractional coordinates, are Pm at (0.0000, 0.0000, 0.0000), Pm at (0.5000, 0.5000, 0.5000), Ho at (0.0000, 0.0000, 0.5000), Er at (0.0000, 0.5000, 0.2459) and Sc at (0.5000, 0.5000, 0.0000).

Its theoretical density is 7.9 g cm⁻³. As for the formation energy: 34 meV per atom. The calculation puts the total energy at -4.80 eV per atom.


(3)
First-principles (PBE) data for crystalline Pm2Ho2ErSc2 at its relaxed geometry, as listed in the Alexandria database.

The structure belongs to space group C2/m (No. 12); the cell edges are 11.3585, 3.4231 and 11.5566 Å and the angles 90.00°, 108.85° and 90.00°. The distinct sites, in fractional coordinates, are Pm at (0.1716, 0.0000, 0.0896), Ho at (0.0458, 0.0000, 0.7661), Er at (0.0000, 0.5000, 0.5000) and Sc at (0.2290, 0.5000, 0.3700).

Its theoretical density is 6.8 g cm⁻³. As for the formation energy: 108 meV per atom. The calculation puts the total energy at -5.02 eV per atom.


(4)
First-principles (PBE) data for crystalline PmHoEr2Se4 at its relaxed geometry, as listed in the Alexandria database.

The structure belongs to space group P2/m (No. 10); the cell edges are 7.0792, 4.0191 and 7.1396 Å and the angles 90.00°, 108.68° and 90.00°. The distinct sites, in fractional coordinates, are Pm at (0.0000, 0.0000, 0.0000), Ho at (0.5000, 0.5000, 0.0000), Er at (0.0000, 0.5000, 0.5000), Er at (0.5000, 0.0000, 0.5000), Se at (0.2535, 0.0000, 0.7437) and Se at (0.2592, 0.5000, 0.2606).

Its theoretical density is 8.3 g cm⁻³. For the uncorrected formation energy, the calculation gives -1732.8 meV per atom. The calculation puts the total energy at -5.78 eV per atom.


(5)
First-principles (PBE) data for crystalline Pm3Ho2ErSe6 at its relaxed geometry, as listed in the Alexandria database.

The structure belongs to space group C2/m (No. 12); the cell edges are 18.0662, 4.0843 and 8.3370 Å and the angles 90.00°, 104.78° and 90.00°. The distinct sites, in fractional coordinates, are Pm at (0.0000, 0.0000, 0.0000), Pm at (0.1671, 0.5000, 0.3332), Ho at (0.1669, 0.5000, 0.8335), Er at (0.0000, 0.0000, 0.5000), Se at (0.0028, 0.5000, 0.7410), Se at (0.1631, 0.0000, 0.5904) and Se at (0.1695, 0.0000, 0.0754).

Its theoretical density is 7.8 g cm⁻³. For the uncorrected formation energy, the calculation gives -1779.3 meV per atom. The calculation puts the total energy at -5.85 eV per atom.


(6)
First-principles (PBE) data for crystalline PmHoEr2Se6 at its relaxed geometry, as listed in the Alexandria database.

The structure belongs to space group R3 (No. 146, hexagonal axes); the cell edges are 7.2203, 7.2203 and 19.4239 Å and the angles 90.00°, 90.00° and 120.00°. The distinct sites, in fractional coordinates, are Pm at (0.0000, 0.0000, 0.0000), Ho at (0.0000, 0.0000, 0.4960), Er at (0.0000, 0.0000, 0.2996), Er at (0.0000, 0.0000, 0.8022), Se at (0.0048, 0.3104, 0.8964) and Se at (0.0174, 0.7087, 0.3972).

Its theoretical density is 6.4 g cm⁻³. For the uncorrected formation energy, the calculation gives -1844.3 meV per atom. The calculation puts the total energy at -5.78 eV per atom.


(7)
First-principles (PBE) data for crystalline Pm2HoErSe5 at its relaxed geometry, as listed in the Alexandria database.

The structure belongs to space group P4/mmm (No. 123); the cell edges are 5.1080, 5.1080 and 10.6799 Å and the angles 90.00°, 90.00° and 90.00°. The distinct sites, in fractional coordinates, are Pm at (0.0000, 0.0000, 0.1768), Ho at (0.5000, 0.5000, 0.5000), Er at (0.5000, 0.5000, 0.0000), Se at (0.0000, 0.0000, 0.5000), Se at (0.0000, 0.5000, 0.0000) and Se at (0.5000, 0.5000, 0.2541).

Its theoretical density is 6.1 g cm⁻³. For the uncorrected formation energy, the calculation gives -1245.9 meV per atom. The calculation puts the total energy at -5.25 eV per atom.


(8)
First-principles (PBE) data for crystalline PmHo3Er3Se8 at its relaxed geometry, as listed in the Alexandria database.

The structure belongs to space group R-3m (No. 166, hexagonal axes); the cell edges are 8.0820, 8.0820 and 19.7976 Å and the angles 90.00°, 90.00° and 120.00°. The distinct sites, in fractional coordinates, are Pm at (0.0000, 0.0000, 0.0000), Ho at (0.0000, 0.5000, 0.5000), Er at (0.0000, 0.5000, 0.0000), Se at (0.0000, 0.0000, 0.2506) and Se at (0.0138, 0.5069, 0.2471).

Its theoretical density is 7.9 g cm⁻³. For the uncorrected formation energy, the calculation gives -1804.2 meV per atom. The calculation puts the total energy at -5.81 eV per atom.


(9)
First-principles (PBE) data for crystalline PmHo3Er2Se6 at its relaxed geometry, as listed in the Alexandria database.

The structure belongs to space group C2/m (No. 12); the cell edges are 7.0255, 12.2374 and 7.0668 Å and the angles 90.00°, 109.41° and 90.00°. The distinct sites, in fractional coordinates, are Pm at (0.0000, 0.0000, 0.0000), Ho at (0.0000, 0.1592, 0.5000), Ho at (0.0000, 0.5000, 0.5000), Er at (0.0000, 0.3348, 0.0000), Se at (0.2401, 0.5000, 0.2494) and Se at (0.2436, 0.3279, 0.7452).

Its theoretical density is 8.4 g cm⁻³. For the uncorrected formation energy, the calculation gives -1732.5 meV per atom. The calculation puts the total energy at -5.78 eV per atom.


(10)
First-principles (PBE) data for crystalline Pm2HoErSe6 at its relaxed geometry, as listed in the Alexandria database.

The structure belongs to space group R3 (No. 146, hexagonal axes); the cell edges are 7.2965, 7.2965 and 19.4864 Å and the angles 90.00°, 90.00° and 120.00°. The distinct sites, in fractional coordinates, are Pm at (0.0000, 0.0000, 0.0000), Pm at (0.0000, 0.0000, 0.5000), Ho at (0.0000, 0.0000, 0.1994), Er at (0.0000, 0.0000, 0.6993), Se at (0.0402, 0.6853, 0.7706) and Se at (0.0408, 0.3562, 0.2709).

Its theoretical density is 6.1 g cm⁻³. For the uncorrected formation energy, the calculation gives -1845.7 meV per atom. The calculation puts the total energy at -5.80 eV per atom.


(11)
First-principles (PBE) data for crystalline Pm4SmHoEr2 at its relaxed geometry, as listed in the Alexandria database.

The structure belongs to space group P2/m (No. 10); the cell edges are 6.2284, 3.6045 and 11.8662 Å and the angles 90.00°, 100.16° and 90.00°. The distinct sites, in fractional coordinates, are Pm at (0.2492, 0.0000, 0.2477), Pm at (0.2494, 0.5000, 0.7506), Sm at (0.5000, 0.5000, 0.5000), Ho at (0.5000, 0.0000, 0.0000), Er at (0.0000, 0.0000, 0.5000) and Er at (0.0000, 0.5000, 0.0000).

Its theoretical density is 7.8 g cm⁻³. As for the formation energy: 17 meV per atom. The calculation puts the total energy at -4.66 eV per atom.


(12)
First-principles (PBE) data for crystalline PmSm2Ho4Er at its relaxed geometry, as listed in the Alexandria database.

The structure belongs to space group C2/c (No. 15); the cell edges are 13.6009, 13.2583 and 6.7999 Å and the angles 90.00°, 119.99° and 90.00°. The distinct sites, in fractional coordinates, are Pm at (0.2500, 0.2500, 0.0000), Sm at (0.0000, 0.0000, 0.0000), Sm at (0.2500, 0.2500, 0.5000), Ho at (0.0001, 0.2534, 0.0004), Ho at (0.2467, 0.4999, 0.4953) and Er at (0.0000, 0.5000, 0.0000).

Its theoretical density is 8.0 g cm⁻³. As for the formation energy: 428 meV per atom. The calculation puts the total energy at -4.20 eV per atom.


(13)
First-principles (PBE) data for crystalline Pm4Sm2HoEr at its relaxed geometry, as listed in the Alexandria database.

The structure belongs to space group C2/c (No. 15); the cell edges are 13.7571, 13.2368 and 6.8608 Å and the angles 90.00°, 119.70° and 90.00°. The distinct sites, in fractional coordinates, are Pm at (0.0139, 0.2474, 0.0146), Pm at (0.2485, 0.0023, 0.4537), Sm at (0.0000, 0.5000, 0.0000), Sm at (0.2500, 0.2500, 0.0000), Ho at (0.0000, 0.0000, 0.0000) and Er at (0.2500, 0.2500, 0.5000).

Its theoretical density is 7.4 g cm⁻³. As for the formation energy: 398 meV per atom. The calculation puts the total energy at -4.30 eV per atom.


(14)
First-principles (PBE) data for crystalline PmSmHo2Er at its relaxed geometry, as listed in the Alexandria database.

The structure belongs to space group Cmcm (No. 63); the cell edges are 6.3948, 16.6127 and 6.3894 Å and the angles 90.00°, 90.00° and 90.00°. The distinct sites, in fractional coordinates, are Pm at (0.0000, 0.1577, 0.2500), Sm at (0.0000, 0.3428, 0.2500), Ho at (0.2503, 0.0000, 0.0000) and Er at (0.0000, 0.2515, 0.7500).

Its theoretical density is 7.8 g cm⁻³. As for the formation energy: 358 meV per atom. The calculation puts the total energy at -4.28 eV per atom.


(15)
First-principles (PBE) data for crystalline PmSmHoEr at its relaxed geometry, as listed in the Alexandria database.

The structure belongs to space group Pmmm (No. 47); the cell edges are 5.0219, 5.0741 and 5.0750 Å and the angles 90.00°, 90.00° and 90.00°. The distinct sites, in fractional coordinates, are Pm at (0.0000, 0.0000, 0.0000), Sm at (0.0000, 0.5000, 0.5000), Ho at (0.5000, 0.0000, 0.5000) and Er at (0.5000, 0.5000, 0.0000).

Its theoretical density is 8.1 g cm⁻³. As for the formation energy: 21 meV per atom. The calculation puts the total energy at -4.63 eV per atom.


(16)
First-principles (PBE) data for crystalline PmSmHoEr at its relaxed geometry, as listed in the Alexandria database.

The structure belongs to space group F-43m (No. 216); the cell edges are 8.0587, 8.0587 and 8.0587 Å and the angles 90.00°, 90.00° and 90.00°. The distinct sites, in fractional coordinates, are Pm at (0.0000, 0.0000, 0.0000), Sm at (0.0000, 0.0000, 0.5000), Ho at (0.2500, 0.2500, 0.2500) and Er at (0.2500, 0.2500, 0.7500).

Its theoretical density is 8.0 g cm⁻³. As for the formation energy: 119 meV per atom. The calculation puts the total energy at -4.53 eV per atom.


(17)
First-principles (PBE) data for crystalline Pm5SmHo2Er at its relaxed geometry, as listed in the Alexandria database.

The structure belongs to space group Cmc2_1 (No. 36); the cell edges are 5.6378, 20.2889 and 10.7054 Å and the angles 90.00°, 90.00° and 90.00°. The distinct sites, in fractional coordinates, are Pm at (0.0000, 0.0165, 0.0000), Pm at (0.0000, 0.2812, 0.2874), Pm at (0.0000, 0.2976, 0.6834), Pm at (0.0000, 0.3901, 0.0025), Pm at (0.0000, 0.4804, 0.7209), Sm at (0.0000, 0.2006, 0.9882), Ho at (0.0000, 0.1104, 0.7169), Ho at (0.0000, 0.1156, 0.2939) and Er at (0.0000, 0.4102, 0.4379).

Its theoretical density is 7.4 g cm⁻³. As for the formation energy: 146 meV per atom. The calculation puts the total energy at -4.54 eV per atom.


(18)
First-principles (PBE) data for crystalline Pm4Sm2HoEr2 at its relaxed geometry, as listed in the Alexandria database.

The structure belongs to space group C2/m (No. 12); the cell edges are 15.2967, 5.0937 and 8.0305 Å and the angles 90.00°, 108.55° and 90.00°. The distinct sites, in fractional coordinates, are Pm at (0.0549, 0.0000, 0.3306), Pm at (0.2219, 0.5000, 0.3307), Sm at (0.1116, 0.5000, 0.6692), Ho at (0.0000, 0.5000, 0.0000) and Er at (0.1669, 0.0000, 0.9998).

Its theoretical density is 7.7 g cm⁻³. As for the formation energy: 20 meV per atom. The calculation puts the total energy at -4.66 eV per atom.


(19)
First-principles (PBE) data for crystalline Pm2SmHo6Er3 at its relaxed geometry, as listed in the Alexandria database.

The structure belongs to space group C2/m (No. 12); the cell edges are 6.1521, 10.6455 and 11.7426 Å and the angles 90.00°, 100.02° and 90.00°. The distinct sites, in fractional coordinates, are Pm at (0.0000, 0.1667, 0.0000), Sm at (0.0000, 0.5000, 0.0000), Ho at (0.2481, 0.1666, 0.7463), Ho at (0.2480, 0.5000, 0.7463), Er at (0.0000, 0.0000, 0.5000) and Er at (0.0000, 0.3334, 0.5000).

Its theoretical density is 8.5 g cm⁻³. As for the formation energy: 19 meV per atom. The calculation puts the total energy at -4.60 eV per atom.


(20)
First-principles (PBE) data for crystalline Pm3Sm6Ho2Er at its relaxed geometry, as listed in the Alexandria database.

The structure belongs to space group C2/m (No. 12); the cell edges are 6.2521, 10.8278 and 11.9375 Å and the angles 90.00°, 100.05° and 90.00°. The distinct sites, in fractional coordinates, are Pm at (0.0000, 0.0000, 0.0000), Pm at (0.0000, 0.3333, 0.0000), Sm at (0.2493, 0.0000, 0.7463), Sm at (0.2491, 0.3334, 0.7462), Ho at (0.0000, 0.1666, 0.5000) and Er at (0.0000, 0.5000, 0.5000).

Its theoretical density is 7.7 g cm⁻³. As for the formation energy: 16 meV per atom. The calculation puts the total energy at -4.67 eV per atom.


(21)
First-principles (PBE) data for crystalline Pm3SmHoEr at its relaxed geometry, as listed in the Alexandria database.

The structure belongs to space group P2_1/m (No. 11); the cell edges are 8.0396, 5.1070 and 10.1853 Å and the angles 90.00°, 108.54° and 90.00°. The distinct sites, in fractional coordinates, are Pm at (0.1696, 0.2500, 0.0423), Pm at (0.1696, 0.2500, 0.5421), Pm at (0.1696, 0.7500, 0.2923), Sm at (0.1699, 0.7500, 0.7923), Ho at (0.4999, 0.2500, 0.8749) and Er at (0.5003, 0.2500, 0.3752).

Its theoretical density is 7.7 g cm⁻³. As for the formation energy: 21 meV per atom. The calculation puts the total energy at -4.66 eV per atom.